GdPSe3S: relaxed, PBE-GGA.

Output
Symmetry = P-1, No. 2
Total DFT energy (no corrections) = -5.0077 eV per atom

Lattice parameters (Å, degrees): 6.653 6.808 7.893 88.59 87.07 84.05
Element x y z (fractional)
Gd: 0.202 0.212 0.055
Gd: 0.798 0.788 0.945
P: 0.302 0.758 0.812
P: 0.698 0.242 0.188
Se: 0.114 0.508 0.771
Se: 0.376 0.770 0.086
Se: 0.426 0.254 0.354
Se: 0.574 0.746 0.646
Se: 0.624 0.230 0.914
Se: 0.886 0.492 0.229
S: 0.094 0.001 0.770
S: 0.906 0.999 0.230